Below is Ba3In7Ag4 after structural relaxation, with properties calculated at the PBE level.

Output
Crystal system ... monoclinic
Space-group type ... C2/m
Formation enthalpy at 0 K ... -308 meV per atom

Structure (POSCAR):
```
Ba3In7Ag4
1.0
-0.8742 -4.4494 -2.0614
6.9337 -1.3992 -5.9384
6.6301 -5.8531 3.8038
In Ba Ag
7 3 4
direct
0.6753 0.1755 0.4740
0.0000 0.0000 0.0000
0.5003 0.7909 0.2086
0.3247 0.8245 0.5260
0.4997 0.2091 0.7914
0.8512 0.3760 0.9216
0.1488 0.6240 0.0784
0.6942 0.8050 0.8067
0.3058 0.1950 0.1933
0.0000 0.5000 0.5000
0.8727 0.9077 0.3469
0.3392 0.5333 0.7883
0.6608 0.4667 0.2117
0.1273 0.0923 0.6531
```

---

Below is BeSi2TeRu after structural relaxation, with properties calculated at the PBE level.

Output
Crystal system ... tetragonal
Energy relative to the elements, uncorrected ... 0.701 eV per atom
Space-group type ... P4/mmm

Structure (POSCAR):
```
BeSi2TeRu
1.0
-2.6904 -2.6313 2.3150
0.4070 -4.1483 -4.2421
3.4916 -1.7606 2.0567
Si Ru Be Te
2 1 1 1
direct
0.0000 0.0000 0.5000
0.5000 0.0000 0.0000
0.0000 0.0000 0.0000
0.5000 0.5000 0.5000
0.0000 0.5000 0.0000
```

---

Below is TlAg3 after structural relaxation, with properties calculated at the PBE level.

Output
Crystal system ... monoclinic
Space-group type ... C2/m
Formation enthalpy at 0 K ... 108 meV per atom

Structure (POSCAR):
```
TlAg3
1.0
-1.1622 4.7825 1.9664
-3.7485 2.9656 2.2900
1.0564 -0.6154 4.9877
Tl Ag
1 3
direct
0.0000 0.0000 0.0000
0.5000 0.5000 0.5000
0.7570 0.7570 0.7377
0.2430 0.2430 0.2623
```

---

Below is PrTmAlHg after structural relaxation, with properties calculated at the PBE level.

Output
Crystal system ... tetragonal
Space-group type ... P4mm
Energy relative to the lowest polymorph listed for this composition ... 0.000 eV/atom
Formation enthalpy at 0 K ... -425 meV per atom

Structure (POSCAR):
```
PrTmAlHg
1.0
-2.8872 -2.1086 -0.7163
2.2105 -2.8560 -0.5024
-0.5711 -1.7569 7.4741
Tm Pr Al Hg
1 1 1 1
direct
0.0000 0.0000 0.3625
0.0000 0.0000 0.8421
0.5000 0.5000 0.5880
0.5000 0.5000 0.1354
```

---

Below is NaErMg2 after structural relaxation, with properties calculated at the PBE level.

Output
Crystal system ... trigonal
Space-group type ... R-3m
Energy relative to the lowest polymorph listed for this composition ... 0.079 eV/atom
Formation enthalpy at 0 K ... 127 meV per atom

Structure (POSCAR):
```
NaErMg2
1.0
3.3338 0.0000 0.0000
1.6669 2.8872 0.0000
1.6669 0.9624 12.0041
Mg Er Na
2 1 1
direct
0.9108 0.9108 0.2676
0.0892 0.0892 0.7324
0.5000 0.5000 0.5000
0.0000 0.0000 0.0000
```

---

Below is Rb3PrTm2Se6 after structural relaxation, with properties calculated at the PBE level.

Output
Crystal system ... monoclinic
Energy relative to the elements, uncorrected ... -1.722 eV per atom
Space-group type ... C2/m

Structure (POSCAR):
```
Rb3PrTm2Se6
1.0
-4.0809 -1.5736 -5.9559
-1.4919 -3.2515 6.4656
-3.1377 7.5798 1.6779
Pr Tm Se Rb
1 2 6 3
direct
0.0000 0.0000 0.0000
0.6669 0.3331 0.0000
0.3331 0.6669 0.0000
0.0655 0.4115 0.1962
0.9345 0.5885 0.8038
0.7192 0.7192 0.1955
0.4115 0.0655 0.1962
0.5885 0.9345 0.8038
0.2808 0.2808 0.8045
0.5000 0.5000 0.5000
0.1643 0.8357 0.5000
0.8357 0.1643 0.5000
```

---

We obtain total energy values of -40.654, -23.485, -10.487, -14.995, -8.563, -58.192 eV/f.u. for the records listed above, in that order.